An optimized crystal structure of YErGePt, computed with PBE.

Geometry as CIF:
```
data_YErGePt
_space_group_name_H-M_alt 'P 1'
_space_group_IT_number 1
_space_group_name_Hall 'P 1'
_cell_length_a 3.899
_cell_length_b 4.285
_cell_length_c 5.739
_cell_angle_alpha 90.00
_cell_angle_beta 109.86
_cell_angle_gamma 90.00
loop_
_atom_site_label
_atom_site_type_symbol
_atom_site_fract_x
_atom_site_fract_y
_atom_site_fract_z
_atom_site_occupancy
Y1 Y 0.860 0.500 0.721 1
Er1 Er 0.140 0.000 0.280 1
Ge1 Ge 0.582 0.500 0.165 1
Pt1 Pt 0.417 0.000 0.834 1
```

- Calculated volume: 90.2 Å³/cell
- Calculated total energy: -26.017 eV/cell
- Total magnetic moment: 0.00 μB/atom
- Space group: Amm2
- Energy above the most stable polymorph in this dataset: 0.000 eV per atom
- Formation energy: -1.083 eV/atom